ZrScAl | PBE-GGA | relaxed

a = 4.788 Å, b = 4.788 Å, c = 7.087 Å
α = 70.28°, β = 70.27°, γ = 90.01°
Fractional coordinates of all 6 atoms:
1 Sc 0.404 0.844 0.108
2 Zr 0.654 0.094 0.609
3 Al 0.527 0.467 0.863
4 Al 0.281 0.222 0.354
5 Sc 0.904 0.344 0.108
6 Zr 0.154 0.595 0.608

Properties
DOS at the Fermi energy: 0.83 states/eV per atom
Excess energy over the best structure of this formula in the dataset: 332 meV per atom
Magnetization: 0.0 μB/f.u.
Symmetry: I4/mmm
Energy relative to the elements: 0.027 eV per atom
Theoretical density: 3.80 Mg/m³
Total DFT energy (no corrections): -37.08 eV per cell